No. 1
Compound: FeGe2Ir
Source: the Alexandria database
Functional: PBE-GGA
Structure: relaxed

Total moment in μB/atom: 0.59
Total energy in eV per cell: -26.52
Symmetry: R3m
Formation enthalpy at 0 K in meV per atom: 9

Cell lengths 5.214, 5.214, 5.214 Å; angles 44.80, 44.80, 44.80 degrees
Fractional coordinates of all 4 atoms:
1 Fe 0.000 0.000 0.000
2 Ge 0.594 0.594 0.594
3 Ge 0.775 0.775 0.775
4 Ir 0.188 0.188 0.188

No. 2
Compound: Cr3FeB4
Source: the Alexandria database
Functional: PBE-GGA
Structure: relaxed

Total moment in μB/atom: 0.29
Total energy in eV per cell: -65.09
Symmetry: Immm
Formation enthalpy at 0 K in meV per atom: -131

Cell lengths 6.168, 6.168, 6.168 Å; angles 153.20, 137.22, 51.21 degrees
Fractional coordinates of all 8 atoms:
1 Cr 0.000 0.000 0.000
2 Cr 0.309 0.809 0.500
3 Cr 0.691 0.191 0.500
4 Fe 0.500 0.500 0.000
5 B 0.053 0.368 0.684
6 B 0.316 0.632 0.684
7 B 0.684 0.368 0.316
8 B 0.947 0.632 0.316

Q: What is the total moment in the first record?
A: 0.59 μB/atom

Q: Which formula does entry 1 have?
A: FeGe2Ir

Q: Which of these has the lowest total moment?
A: Cr3FeB4

Q: Among the records above, which one has the lowest formation enthalpy at 0 K?
A: Cr3FeB4